Density functional theory data (SCAN) for a crystal of AlAg2As relaxed with PBEsol.

a b c (Å): 2.892 2.892 8.103
angles (deg): 90.00 90.00 90.00
Sites, in units of the cell vectors:
Al  0.000  0.000  0.000
Ag  0.500  0.500  0.231
Ag  0.500  0.500  0.769
As  0.000  0.000  0.500

Results
Total energy in eV per atom: -22.608
ΔE_f in eV per atom: 0.061
SG: P4/mmm, No. 123
Relative energy among the computed polymorphs in eV per formula unit: 0.00

---

Density functional theory data (SCAN) for a crystal of AlAgAs relaxed with PBEsol.

a b c (Å): 6.130 6.130 6.130
angles (deg): 90.00 90.00 90.00
Sites, in units of the cell vectors:
Al  0.000  0.000  0.000
Al  0.000  0.500  0.500
Al  0.500  0.000  0.500
Al  0.500  0.500  0.000
Ag  0.250  0.250  0.750
Ag  0.250  0.750  0.250
Ag  0.750  0.250  0.250
Ag  0.750  0.750  0.750
As  0.250  0.250  0.250
As  0.250  0.750  0.750
As  0.750  0.250  0.750
As  0.750  0.750  0.250

Results
Total energy in eV per atom: -19.740
ΔE_f in eV per atom: 0.030
SG: F-43m, No. 216
Relative energy among the computed polymorphs in eV per formula unit: 0.00

---

Density functional theory data (SCAN) for a crystal of AlAgAs2 relaxed with PBEsol.

a b c (Å): 3.739 3.739 5.270
angles (deg): 90.00 90.00 90.00
Sites, in units of the cell vectors:
Al  0.000  0.000  0.000
Ag  0.500  0.500  0.500
As  0.000  0.000  0.500
As  0.500  0.500  0.000

Results
Total energy in eV per atom: -19.902
ΔE_f in eV per atom: -0.027
SG: P4/mmm, No. 123
Relative energy among the computed polymorphs in eV per formula unit: 0.11

---

Density functional theory data (SCAN) for a crystal of Al2AgAs relaxed with PBEsol.

a b c (Å): 2.753 3.376 7.542
angles (deg): 90.00 90.00 90.00
Sites, in units of the cell vectors:
Al  0.000  0.000  0.232
Al  0.000  0.000  0.768
Ag  0.500  0.500  0.000
As  0.000  0.500  0.500

Results
Total energy in eV per atom: -16.787
ΔE_f in eV per atom: -0.022
SG: Pmmm, No. 47
Relative energy among the computed polymorphs in eV per formula unit: 0.00

---

Density functional theory data (SCAN) for a crystal of Al2AgAs relaxed with PBEsol.

a b c (Å): 3.001 4.054 5.995
angles (deg): 90.00 104.62 90.00
Sites, in units of the cell vectors:
Al  0.000  0.000  0.000
Al  0.350  0.500  0.703
Ag  0.768  0.000  0.539
As  0.583  0.500  0.167

Results
Total energy in eV per atom: -16.727
ΔE_f in eV per atom: 0.039
SG: Pm, No. 6
Relative energy among the computed polymorphs in eV per formula unit: 0.24

---

Density functional theory data (SCAN) for a crystal of Al2AgAs relaxed with PBEsol.

a b c (Å): 2.963 2.963 26.840
angles (deg): 90.00 90.00 120.00
Sites, in units of the cell vectors:
Al  0.000  0.000  0.000
Al  0.000  0.000  0.253
Al  0.333  0.667  0.667
Al  0.333  0.667  0.919
Al  0.667  0.333  0.333
Al  0.667  0.333  0.586
Ag  0.000  0.000  0.507
Ag  0.333  0.667  0.174
Ag  0.667  0.333  0.840
As  0.000  0.000  0.746
As  0.333  0.667  0.412
As  0.667  0.333  0.079

Results
Total energy in eV per atom: -16.686
ΔE_f in eV per atom: 0.079
SG: R3m, No. 160
Relative energy among the computed polymorphs in eV per formula unit: 0.40

---

Density functional theory data (SCAN) for a crystal of AlAgAs2 relaxed with PBEsol.

a b c (Å): 2.966 4.095 6.967
angles (deg): 90.00 90.00 90.00
Sites, in units of the cell vectors:
Al  0.000  0.000  0.000
Ag  0.000  0.500  0.428
As  0.000  0.500  0.803
As  0.500  0.000  0.300

Results
Total energy in eV per atom: -19.930
ΔE_f in eV per atom: -0.055
SG: Pmm2, No. 25
Relative energy among the computed polymorphs in eV per formula unit: 0.00

---

Density functional theory data (SCAN) for a crystal of Al2AgAs relaxed with PBEsol.

a b c (Å): 3.602 3.602 5.483
angles (deg): 90.00 90.00 90.00
Sites, in units of the cell vectors:
Al  0.000  0.000  0.000
Al  0.500  0.500  0.345
Ag  0.500  0.500  0.865
As  0.000  0.000  0.470

Results
Total energy in eV per atom: -16.769
ΔE_f in eV per atom: -0.004
SG: P4mm, No. 99
Relative energy among the computed polymorphs in eV per formula unit: 0.07